Entry from Alexandria: Cs3Y2PaSe6 after structural relaxation (PBE).

Lattice parameters (Å, degrees): 7.3831 7.3831 8.7671 98.06 98.06 120.00
Closest atoms and distances in Å follow each position.
Element x y z (fractional)
Cs: 0.1679 0.8321 0.5000  6 Se 3.60-3.61
Cs: 0.8321 0.1679 0.5000  6 Se 3.60-3.61
Cs: 0.5000 0.5000 0.5000  6 Se 3.60-3.61
Y: 0.3335 0.6665 0.0000  6 Se 2.93
Y: 0.6665 0.3335 0.0000  6 Se 2.93
Pa: 0.0000 0.0000 0.0000  6 Se 2.91
Se: 0.9377 0.6058 0.8130  1 Pa 2.91, 2 Y 2.93
Se: 0.7307 0.7307 0.1875  1 Pa 2.91, 2 Y 2.93
Se: 0.0623 0.3942 0.1870  1 Pa 2.91, 2 Y 2.93
Se: 0.6058 0.9377 0.8130  1 Pa 2.91, 2 Y 2.93
Se: 0.2693 0.2693 0.8125  1 Pa 2.91, 2 Y 2.93
Se: 0.3942 0.0623 0.1870  1 Pa 2.91, 2 Y 2.93

Formation energy (no corrections) in eV/atom: -1.5699
Space group: C2/m, No. 12

Entry from Alexandria: CoNi6Ge2 after structural relaxation (PBE).

Lattice parameters (Å, degrees): 5.7246 4.8839 4.8839 58.36 74.38 74.38
Closest atoms and distances in Å follow each position.
Element x y z (fractional)
Co: 0.0000 0.0000 0.0000  6 Ni 2.33-2.41
Ni: 0.2847 0.3437 0.8266  6 Ni 2.30-2.55, 1 Co 2.33, 1 Ge 2.44
Ni: 0.4107 0.8099 0.8099  1 Co 2.41, 1 Ge 2.43, 8 Ni 2.51-2.67
Ni: 0.2847 0.8266 0.3437  6 Ni 2.30-2.55, 1 Co 2.33, 1 Ge 2.44
Ni: 0.7153 0.6563 0.1734  6 Ni 2.30-2.55, 1 Co 2.33, 1 Ge 2.44
Ni: 0.5893 0.1901 0.1901  1 Co 2.41, 1 Ge 2.43, 8 Ni 2.51-2.67
Ni: 0.7153 0.1734 0.6563  6 Ni 2.30-2.55, 1 Co 2.33, 1 Ge 2.44
Ge: 0.8456 0.6558 0.6558  7 Ni 2.43-2.66, 1 Ge 2.70
Ge: 0.1544 0.3442 0.3442  7 Ni 2.43-2.66, 1 Ge 2.70

E_form in eV/f.u.: 0.9
Space group: C2/m, No. 12

In μB per formula unit, the spin magnetization values for the records above are, in order, 1.7 3.2.